LaAlO3: optimized geometry, PBE-GGA.

Unit cell a=3.351 b=5.689 c=5.689 alpha=63.50 beta=90.00 gamma=90.00
Fractional positions:
La  0.000  0.000  0.000
Al  0.500  0.658  0.658
O  0.000  0.751  0.751
O  0.500  0.312  0.811
O  0.500  0.811  0.312

Properties
Magnetic moment, μB/cell: 0.00
Calculated total energy, eV/atom: -7.780
Theoretical density, g/cm³: 3.66
E_form (uncorrected), eV per atom: -3.07